# 1
{
  "formula": "Na13Hg2",
  "functional": "GGA-PBE",
  "state": "relaxed",
  "spacegroup": "No. 2",
  "dft_energy_ev_per_cell": -18.71,
  "m_tot_mub_per_fu": 0.00,
  "formation_enthalpy_0k_mev_per_atom": -64,
  "dos_ef_per_ev_cell": 6.10,
  "cell": [[-4.3154, -0.9502, -5.4769], [1.5280, -8.1053, 1.9719], [-7.2986, 3.4801, 4.5740]],
  "species": ["Na", "Na", "Na", "Na", "Na", "Na", "Na", "Hg", "Hg", "Na", "Na", "Na", "Na", "Na", "Na"],
  "frac_coords": [[0.5496, 0.3814, 0.5973], [0.5716, 0.1846, 0.1726], [0.7916, 0.9832, 0.3946], [0.2560, 0.8302, 0.1978], [0.0000, 0.0000, 0.0000], [0.4284, 0.8154, 0.8274], [0.2679, 0.3736, 0.9889], [0.8231, 0.7688, 0.6539], [0.1769, 0.2312, 0.3461], [0.7440, 0.1698, 0.8022], [0.7321, 0.6264, 0.0111], [0.9465, 0.5193, 0.3206], [0.2084, 0.0168, 0.6054], [0.4504, 0.6186, 0.4027], [0.0535, 0.4807, 0.6794]]
}



# 2
{
  "formula": "MnReAg2",
  "functional": "GGA-PBE",
  "state": "relaxed",
  "spacegroup": "No. 10",
  "dft_energy_ev_per_cell": -24.95,
  "m_tot_mub_per_fu": 2.97,
  "formation_enthalpy_0k_mev_per_atom": 592,
  "dos_ef_per_ev_cell": 3.30,
  "cell": [[-3.5653, 0.5189, 3.1792], [1.3604, -1.4799, 1.7671], [2.4900, 3.7490, 2.1805]],
  "species": ["Mn", "Ag", "Re", "Ag"],
  "frac_coords": [[0.5000, 0.2500, 0.2500], [0.0000, 0.0359, 0.0029], [0.5000, 0.7500, 0.7500], [0.0000, 0.4641, 0.4971]]
}



# 3
{
  "formula": "SmInGe",
  "functional": "GGA-PBE",
  "state": "relaxed",
  "spacegroup": "No. 107",
  "dft_energy_ev_per_cell": -13.03,
  "m_tot_mub_per_fu": 0.21,
  "formation_enthalpy_0k_mev_per_atom": -317,
  "dos_ef_per_ev_cell": 1.99,
  "cell": [[3.6120, 0.0000, 0.0000], [0.0000, 3.6120, 0.0000], [-1.8060, -1.8060, 5.6462]],
  "species": ["Sm", "In", "Ge"],
  "frac_coords": [[0.6232, 0.6232, 0.2464], [0.9283, 0.9283, 0.8567], [0.2985, 0.2985, 0.5970]]
}



# 4
{
  "formula": "AgPPtO2",
  "functional": "GGA-PBE",
  "state": "relaxed",
  "spacegroup": "No. 123",
  "dft_energy_ev_per_cell": -19.78,
  "m_tot_mub_per_fu": 1.47,
  "formation_energy_uncorrected_ev_per_atom": 0.89,
  "dos_ef_per_ev_cell": 4.64,
  "cell": [[3.7952, 0.0000, 0.0000], [0.0000, 3.7952, 0.0000], [0.0000, 0.0000, 5.7860]],
  "species": ["P", "O", "Pt", "O", "Ag"],
  "frac_coords": [[0.0000, 0.0000, 0.5000], [0.0000, 0.5000, 0.0000], [0.5000, 0.5000, 0.5000], [0.5000, 0.0000, 0.0000], [0.0000, 0.0000, 0.0000]]
}



# 5
{
  "formula": "Li2YGeO",
  "functional": "GGA-PBE",
  "state": "relaxed",
  "spacegroup": "No. 123",
  "dft_energy_ev_per_cell": -26.75,
  "m_tot_mub_per_fu": 0.00,
  "formation_energy_uncorrected_ev_per_atom": -1.38,
  "dos_ef_per_ev_cell": 3.43,
  "cell": [[-1.9857, 3.1237, 2.0308], [-3.3223, -0.4429, -2.5672], [-1.8093, -3.0099, 2.8607]],
  "species": ["O", "Y", "Li", "Li", "Ge"],
  "frac_coords": [[0.0000, 0.0000, 0.0000], [0.0000, 0.0000, 0.5000], [0.5000, 0.0000, 0.0000], [0.0000, 0.5000, 0.0000], [0.5000, 0.5000, 0.5000]]
}